Record 1
DFT (GGA-PBE) results for crystalline Ba2InSe at its relaxed geometry.

Summary:
Formation energy without anion corrections in eV per atom: -0.934
VASP energy in eV/cell: -13.80
Theoretical density in g/cm³: 5.12
Relative energy among the computed polymorphs in meV per atom: 116

The structure in extended XYZ format:
```
4
Lattice="6.372 -2.192 0.000 6.372 2.192 0.000 -0.958 0.000 5.434" Properties=species:S:1:pos:R:3 pbc="T T T"
Ba 0.000 0.000 0.000
Ba 8.892 0.000 2.960
In 3.498 0.000 0.390
Se 5.522 0.000 2.550
```


Record 2
DFT (GGA-PBE) results for crystalline Ba2InSe at its relaxed geometry.

Summary:
Formation energy without anion corrections in eV per atom: -0.795
VASP energy in eV/cell: -13.25
Theoretical density in g/cm³: 5.33
Relative energy among the computed polymorphs in meV per atom: 255

The structure in extended XYZ format:
```
4
Lattice="-2.657 2.886 4.755 2.657 -2.886 4.755 2.657 2.886 -4.755" Properties=species:S:1:pos:R:3 pbc="T T T"
Ba 0.000 0.000 2.265
Ba 0.000 0.000 7.245
In 0.000 2.886 0.000
Se 2.657 0.000 0.000
```


Record 3
DFT (GGA-PBE) results for crystalline BaInSe at its relaxed geometry.

Summary:
Formation energy without anion corrections in eV per atom: -1.005
VASP energy in eV/cell: -22.32
Theoretical density in g/cm³: 4.98
Relative energy among the computed polymorphs in meV per atom: 0

The structure in extended XYZ format:
```
6
Lattice="11.084 0.000 0.000 0.000 3.141 3.170 0.000 -3.141 3.170" Properties=species:S:1:pos:R:3 pbc="T T T"
Ba 2.242 0.000 0.000
Ba 8.842 0.000 0.000
In 0.000 0.000 3.190
In 5.542 0.000 4.741
Se 3.227 0.000 3.119
Se 7.858 0.000 3.119
```


Record 4
DFT (GGA-PBE) results for crystalline BaIn4Se7 at its relaxed geometry.

Summary:
Formation energy without anion corrections in eV per atom: -0.795
VASP energy in eV/cell: -93.62
Theoretical density in g/cm³: 4.95

The structure in extended XYZ format:
```
24
Lattice="16.571 0.000 0.000 0.000 6.991 0.000 0.000 0.000 6.653" Properties=species:S:1:pos:R:3 pbc="T T T"
Ba 0.000 0.801 0.000
Ba 8.285 6.190 3.326
In 1.984 4.622 4.549
In 4.127 1.245 4.470
In 4.159 5.746 1.143
In 6.302 2.369 1.222
In 10.269 2.369 1.222
In 12.412 5.746 1.143
In 12.444 1.245 4.470
In 14.587 4.622 4.549
Se 0.000 6.089 3.680
Se 1.763 2.113 3.874
Se 1.801 4.911 0.502
Se 3.946 1.345 0.502
Se 4.339 5.646 3.828
Se 6.484 2.080 3.828
Se 6.522 4.878 0.547
Se 8.285 0.902 0.353
Se 10.049 4.878 0.547
Se 10.087 2.080 3.828
Se 12.232 5.646 3.828
Se 12.625 1.345 0.502
Se 14.770 4.911 0.502
Se 14.808 2.113 3.874
```


Record 5
DFT (GGA-PBE) results for crystalline Ba4InSe at its relaxed geometry.

Summary:
Formation energy without anion corrections in eV per atom: 0.094
VASP energy in eV/cell: -13.35
Theoretical density in g/cm³: 4.73

The structure in extended XYZ format:
```
6
Lattice="0.000 5.073 5.073 5.073 0.000 5.073 5.073 5.073 0.000" Properties=species:S:1:pos:R:3 pbc="T T T"
Ba 3.814 3.814 3.814
Ba 6.332 6.332 3.814
Ba 6.332 3.814 6.332
Ba 3.814 6.332 6.332
In 0.000 0.000 0.000
Se 7.609 7.609 7.609
```


Record 6
DFT (GGA-PBE) results for crystalline Ba2InSe2 at its relaxed geometry.

Summary:
Formation energy without anion corrections in eV per atom: -1.409
VASP energy in eV/cell: -41.19
Theoretical density in g/cm³: 5.39

The structure in extended XYZ format:
```
10
Lattice="8.850 0.000 0.000 0.000 8.850 0.000 0.000 0.000 4.304" Properties=species:S:1:pos:R:3 pbc="T T T"
Ba 1.365 3.059 0.000
Ba 3.059 7.484 0.000
Ba 5.790 1.365 0.000
Ba 7.484 5.790 0.000
In 0.000 0.000 2.152
In 4.425 4.425 2.152
Se 1.342 5.767 2.152
Se 3.082 1.342 2.152
Se 5.767 7.507 2.152
Se 7.507 3.082 2.152
```


Record 7
DFT (GGA-PBE) results for crystalline Ba2InSe at its relaxed geometry.

Summary:
Formation energy without anion corrections in eV per atom: -0.844
VASP energy in eV/cell: -26.89
Theoretical density in g/cm³: 4.33
Relative energy among the computed polymorphs in meV per atom: 207

The structure in extended XYZ format:
```
8
Lattice="-4.479 4.479 4.476 4.479 -4.479 4.476 4.479 4.479 -4.476" Properties=species:S:1:pos:R:3 pbc="T T T"
Ba 2.240 1.892 -1.119
Ba 2.587 -2.240 5.595
Ba 2.240 2.587 3.357
Ba 1.892 6.719 1.119
In 4.479 0.000 2.238
In 0.000 0.000 4.476
Se 0.000 0.000 0.000
Se 0.000 4.479 2.238
```


Record 8
DFT (GGA-PBE) results for crystalline BaInSe3 at its relaxed geometry.

Summary:
Formation energy without anion corrections in eV per atom: -0.014
VASP energy in eV/cell: -15.18
Theoretical density in g/cm³: 3.39
Relative energy among the computed polymorphs in meV per atom: 1006

The structure in extended XYZ format:
```
5
Lattice="6.212 0.000 0.000 0.000 6.212 0.000 0.000 0.000 6.212" Properties=species:S:1:pos:R:3 pbc="T T T"
Ba 0.000 0.000 0.000
In 3.106 3.106 3.106
Se 0.000 0.000 3.106
Se 0.000 3.106 0.000
Se 3.106 0.000 0.000
```


Record 9
DFT (GGA-PBE) results for crystalline Ba2InSe at its relaxed geometry.

Summary:
Formation energy without anion corrections in eV per atom: -1.050
VASP energy in eV/cell: -14.27
Theoretical density in g/cm³: 4.65
Relative energy among the computed polymorphs in meV per atom: 0

The structure in extended XYZ format:
```
4
Lattice="2.299 1.327 9.136 -2.299 1.327 9.136 0.000 -2.654 9.136" Properties=species:S:1:pos:R:3 pbc="T T T"
Ba 0.000 0.000 6.534
Ba 0.000 0.000 20.874
In 0.000 0.000 0.000
Se 0.000 0.000 13.704
```


Record 10
DFT (GGA-PBE) results for crystalline Ba2InSe at its relaxed geometry.

Summary:
Formation energy without anion corrections in eV per atom: -0.776
VASP energy in eV/cell: -13.17
Theoretical density in g/cm³: 5.16
Relative energy among the computed polymorphs in meV per atom: 274

The structure in extended XYZ format:
```
4
Lattice="-2.421 2.421 6.434 2.421 -2.421 6.434 2.421 2.421 -6.434" Properties=species:S:1:pos:R:3 pbc="T T T"
Ba 0.000 0.000 0.000
Ba 0.000 2.421 3.217
In 0.000 0.000 6.434
Se 2.421 0.000 3.217
```


Record 11
DFT (GGA-PBE) results for crystalline BaInSe at its relaxed geometry.

Summary:
Formation energy without anion corrections in eV per atom: -0.900
VASP energy in eV/cell: -10.85
Theoretical density in g/cm³: 4.12
Relative energy among the computed polymorphs in meV per atom: 105

The structure in extended XYZ format:
```
3
Lattice="-2.282 2.282 6.409 2.282 -2.282 6.409 2.282 2.282 -6.409" Properties=species:S:1:pos:R:3 pbc="T T T"
Ba 0.000 0.000 0.000
In 0.000 0.000 3.587
Se 0.000 0.000 6.325
```


Record 12
DFT (GGA-PBE) results for crystalline Ba2InSe at its relaxed geometry.

Summary:
Formation energy without anion corrections in eV per atom: -1.031
VASP energy in eV/cell: -14.19
Theoretical density in g/cm³: 5.37
Relative energy among the computed polymorphs in meV per atom: 19

The structure in extended XYZ format:
```
4
Lattice="3.991 0.000 0.000 0.000 3.991 0.000 0.000 0.000 9.089" Properties=species:S:1:pos:R:3 pbc="T T T"
Ba 0.000 0.000 1.965
Ba 0.000 0.000 7.125
In 1.995 1.995 4.545
Se 1.995 1.995 0.000
```